Entry from the Alexandria database: a relaxed structure of Tb2Dy5Tm2 (PBE-GGA).

Fermi-level density of states: 1.554 states/eV/atom
Spin magnetization: 0.0 Bohr magnetons per cell
Calculated total energy: -4.346 eV/atom
Density: 8.5 g/cm³
ΔE to the lowest computed polymorph: 214 meV per atom
Energy of formation: 2.10 eV per formula unit
SG: Ima2, No. 46

Lattice parameters (Å, degrees): 11.6469 6.6598 9.9713 109.51 125.73 90.00
With the nearest neighbours (Å) after each atom.
Sites, in units of the cell vectors:
Tb 0.0000 0.0213 0.0000  4 Dy 3.26-3.57, 2 Tm 3.61
Tb 0.2601 0.3576 0.5000  4 Dy 3.35-3.58, 2 Tm 3.50, 2 Tb 3.74
Tb 0.7399 0.8576 0.5000  4 Dy 3.35-3.58, 2 Tm 3.50, 2 Tb 3.74
Tb 0.5000 0.5213 0.0000  4 Dy 3.26-3.57, 2 Tm 3.61
Dy 0.1982 0.6553 0.8976  4 Dy 3.12-3.33, 1 Tb 3.26, 1 Tm 3.26
Dy 0.4076 0.5330 0.2866  4 Dy 3.12-3.35, 1 Tm 3.29, 1 Tb 3.39
Dy 0.9978 0.1496 0.5000  6 Dy 3.20-3.58, 2 Tb 3.35-3.58, 2 Tm 3.56
Dy 0.3790 0.0330 0.2866  4 Dy 3.12-3.35, 1 Tm 3.29, 1 Tb 3.39
Dy 0.0022 0.6496 0.5000  6 Dy 3.20-3.58, 2 Tb 3.35-3.58, 2 Tm 3.56
Dy 0.1994 0.1553 0.8976  4 Dy 3.12-3.33, 1 Tb 3.26, 1 Tm 3.26
Dy 0.6210 0.7464 0.7134  4 Dy 3.12-3.35, 1 Tm 3.29, 1 Tb 3.39
Dy 0.5924 0.2464 0.7134  4 Dy 3.12-3.35, 1 Tm 3.29, 1 Tb 3.39
Dy 0.8018 0.7577 0.1024  4 Dy 3.12-3.33, 1 Tb 3.26, 1 Tm 3.26
Dy 0.8006 0.2577 0.1024  4 Dy 3.12-3.33, 1 Tb 3.26, 1 Tm 3.26
Tm 0.6279 0.1848 0.2544  4 Dy 3.26-3.56, 2 Tb 3.50-3.61, 1 Tm 3.62
Tm 0.1265 0.6848 0.2545  4 Dy 3.26-3.56, 2 Tb 3.50-3.61, 1 Tm 3.62
Tm 0.8735 0.4304 0.7455  4 Dy 3.26-3.56, 2 Tb 3.50-3.61, 1 Tm 3.62
Tm 0.3721 0.9304 0.7455  4 Dy 3.26-3.56, 2 Tb 3.50-3.61, 1 Tm 3.62